# 1
{
  "formula": "Be2VMo2Ru5",
  "functional": "PBE",
  "state": "relaxed",
  "cell": [[9.317, 0.000, 0.000], [0.000, 9.317, 0.000], [0.000, 0.000, 2.987]],
  "species": ["Be", "Be", "Be", "Be", "V", "V", "Mo", "Mo", "Mo", "Mo", "Ru", "Ru", "Ru", "Ru", "Ru", "Ru", "Ru", "Ru", "Ru", "Ru"],
  "fractional_positions": [[0.124, 0.376, 0.000], [0.376, 0.876, 0.000], [0.624, 0.124, 0.000], [0.876, 0.624, 0.000], [0.000, 0.000, 0.000], [0.500, 0.500, 0.000], [0.176, 0.676, 0.000], [0.324, 0.176, 0.000], [0.676, 0.824, 0.000], [0.824, 0.324, 0.000], [0.000, 0.500, 0.500], [0.068, 0.207, 0.500], [0.207, 0.932, 0.500], [0.293, 0.432, 0.500], [0.432, 0.707, 0.500], [0.500, 0.000, 0.500], [0.568, 0.293, 0.500], [0.707, 0.568, 0.500], [0.793, 0.068, 0.500], [0.932, 0.793, 0.500]],
  "ef_ev_per_atom": -0.20,
  "crystal_system": "tetragonal",
  "sg": "P4/mbm",
  "dos_ef_per_ev_atom": 0.37
}

---

# 2
{
  "formula": "PmPaSnO6",
  "functional": "PBE",
  "state": "relaxed",
  "cell": [[5.102, 0.000, 0.000], [0.000, 5.102, 0.000], [0.000, 0.000, 10.431]],
  "species": ["Pm", "Pm", "Pa", "Pa", "Sn", "Sn", "O", "O", "O", "O", "O", "O", "O", "O", "O", "O", "O", "O"],
  "fractional_positions": [[0.000, 0.000, 0.000], [0.500, 0.500, 0.500], [0.000, 0.000, 0.666], [0.500, 0.500, 0.166], [0.000, 0.000, 0.332], [0.500, 0.500, 0.832], [0.179, 0.179, 0.492], [0.197, 0.197, 0.181], [0.205, 0.205, 0.820], [0.295, 0.705, 0.320], [0.303, 0.697, 0.681], [0.321, 0.679, 0.992], [0.679, 0.321, 0.992], [0.697, 0.303, 0.681], [0.705, 0.295, 0.320], [0.795, 0.795, 0.820], [0.803, 0.803, 0.181], [0.821, 0.821, 0.492]],
  "dft_energy_ev_per_atom": -8.201,
  "crystal_system": "tetragonal",
  "sg": "P4_2nm",
  "dos_ef_per_ev_atom": 0.00
}

---

# 3
{
  "formula": "Ga2SnO",
  "functional": "PBE",
  "state": "relaxed",
  "cell": [[0.000, 3.291, 3.291], [3.291, 0.000, 3.291], [3.291, 3.291, 0.000]],
  "species": ["Ga", "Ga", "Sn", "O"],
  "fractional_positions": [[0.250, 0.250, 0.250], [0.750, 0.750, 0.750], [0.000, 0.000, 0.000], [0.500, 0.500, 0.500]],
  "relative_energy_ev_per_fu": 2.43,
  "crystal_system": "cubic",
  "sg": "Fm-3m",
  "dos_ef_per_ev_atom": 0.47
}

---

# 4
{
  "formula": "K2TcF",
  "functional": "PBE",
  "state": "relaxed",
  "cell": [[-3.873, 3.873, 4.513], [3.873, -3.873, 4.513], [3.873, 3.873, -4.513]],
  "species": ["K", "K", "K", "K", "Tc", "Tc", "F", "F"],
  "fractional_positions": [[0.020, 0.125, 0.395], [0.375, 0.980, 0.105], [0.730, 0.625, 0.605], [0.875, 0.270, 0.895], [0.250, 0.750, 0.500], [0.500, 0.500, 0.000], [0.000, 0.000, 0.000], [0.750, 0.250, 0.500]],
  "relative_energy_ev_per_fu": 0.00,
  "crystal_system": "tetragonal",
  "sg": "I-42d",
  "dos_ef_per_ev_atom": 0.00
}

---

# 5
{
  "formula": "TaRe3",
  "functional": "PBE",
  "state": "relaxed",
  "cell": [[2.757, 0.000, 0.000], [0.000, 4.440, 0.000], [-0.992, 0.000, 5.134]],
  "species": ["Ta", "Re", "Re", "Re"],
  "fractional_positions": [[0.000, 0.000, 0.000], [0.220, 0.500, 0.749], [0.500, 0.000, 0.500], [0.780, 0.500, 0.251]],
  "ef_ev_per_atom": 0.01,
  "crystal_system": "monoclinic",
  "sg": "P2/m",
  "dos_ef_per_ev_atom": 0.78
}

---

# 6
{
  "formula": "Mg5Bi",
  "functional": "PBE",
  "state": "relaxed",
  "cell": [[2.803, 1.618, 5.379], [-2.803, 1.618, 5.379], [0.000, -3.237, 5.379]],
  "species": ["Mg", "Mg", "Mg", "Mg", "Mg", "Bi"],
  "fractional_positions": [[0.000, 0.672, 0.328], [0.170, 0.170, 0.170], [0.328, 0.000, 0.672], [0.672, 0.328, 0.000], [0.830, 0.830, 0.830], [0.500, 0.500, 0.500]],
  "ef_ev_per_atom": -0.03,
  "crystal_system": "trigonal",
  "sg": "R32",
  "dos_ef_per_ev_atom": 0.51
}

---

# 7
{
  "formula": "Pm2TmSe4",
  "functional": "PBE",
  "state": "relaxed",
  "cell": [[1.991, -6.915, 0.000], [1.991, 6.915, 0.000], [0.000, 0.000, 14.023]],
  "species": ["Pm", "Pm", "Pm", "Pm", "Tm", "Tm", "Se", "Se", "Se", "Se", "Se", "Se", "Se", "Se"],
  "fractional_positions": [[0.130, 0.870, 0.572], [0.130, 0.870, 0.928], [0.870, 0.130, 0.072], [0.870, 0.130, 0.428], [0.372, 0.628, 0.750], [0.628, 0.372, 0.250], [0.019, 0.981, 0.750], [0.219, 0.781, 0.126], [0.219, 0.781, 0.374], [0.500, 0.500, 0.000], [0.500, 0.500, 0.500], [0.781, 0.219, 0.626], [0.781, 0.219, 0.874], [0.981, 0.019, 0.250]],
  "relative_energy_ev_per_fu": 0.35,
  "crystal_system": "orthorhombic",
  "sg": "Cmcm",
  "dos_ef_per_ev_atom": 0.30
}

---

# 8
{
  "formula": "RbTl2Ge",
  "functional": "PBE",
  "state": "relaxed",
  "cell": [[2.388, 1.379, 7.356], [-2.388, 1.379, 7.356], [0.000, -2.757, 7.356]],
  "species": ["Rb", "Tl", "Tl", "Ge"],
  "fractional_positions": [[0.000, 0.000, 0.000], [0.215, 0.215, 0.215], [0.442, 0.442, 0.442], [0.823, 0.823, 0.823]],
  "ef_ev_per_atom": 0.01,
  "relative_energy_ev_per_fu": 0.03,
  "crystal_system": "trigonal",
  "sg": "R3m",
  "dos_ef_per_ev_atom": 0.62
}

---

# 9
{
  "formula": "Ho4Sn2Hg",
  "functional": "PBE",
  "state": "relaxed",
  "cell": [[7.594, -2.174, 0.000], [7.594, 2.174, 0.000], [-3.849, 0.000, 6.729]],
  "species": ["Ho", "Ho", "Ho", "Ho", "Sn", "Sn", "Hg"],
  "fractional_positions": [[0.124, 0.124, 0.278], [0.376, 0.376, 0.181], [0.624, 0.624, 0.819], [0.876, 0.876, 0.722], [0.244, 0.244, 0.737], [0.756, 0.756, 0.263], [0.000, 0.000, 0.500]],
  "ef_ev_per_atom": -0.29,
  "crystal_system": "monoclinic",
  "sg": "C2/m",
  "dos_ef_per_ev_atom": 0.75
}

---

# 10
{
  "formula": "NaV2Cu2",
  "functional": "PBE",
  "state": "relaxed",
  "cell": [[-2.290, 2.290, 4.058], [2.290, -2.290, 4.058], [2.290, 2.290, -4.058]],
  "species": ["Na", "V", "V", "Cu", "Cu"],
  "fractional_positions": [[0.000, 0.000, 0.000], [0.385, 0.385, 0.000], [0.615, 0.615, 0.000], [0.250, 0.750, 0.500], [0.750, 0.250, 0.500]],
  "ef_ev_per_atom": 0.79,
  "relative_energy_ev_per_fu": 2.08,
  "crystal_system": "tetragonal",
  "sg": "I4/mmm",
  "dos_ef_per_ev_atom": 0.98
}

---

# 11
{
  "formula": "Pr3InS6",
  "functional": "PBE",
  "state": "relaxed",
  "cell": [[5.560, -6.962, 0.000], [5.560, 6.962, 0.000], [0.000, 0.000, 6.836]],
  "species": ["Pr", "Pr", "Pr", "Pr", "Pr", "Pr", "In", "In", "S", "S", "S", "S", "S", "S", "S", "S", "S", "S", "S", "S"],
  "fractional_positions": [[0.099, 0.901, 0.500], [0.214, 0.413, 0.584], [0.413, 0.214, 0.084], [0.587, 0.786, 0.584], [0.786, 0.587, 0.084], [0.901, 0.099, 0.000], [0.301, 0.699, 0.115], [0.699, 0.301, 0.615], [0.063, 0.598, 0.307], [0.135, 0.188, 0.291], [0.188, 0.135, 0.791], [0.280, 0.720, 0.757], [0.402, 0.937, 0.307], [0.466, 0.534, 0.273], [0.534, 0.466, 0.773], [0.598, 0.063, 0.807], [0.720, 0.280, 0.257], [0.812, 0.865, 0.291], [0.865, 0.812, 0.791], [0.937, 0.402, 0.807]],
  "dft_energy_ev_per_atom": -5.877,
  "crystal_system": "orthorhombic",
  "sg": "Cmc2_1",
  "dos_ef_per_ev_atom": 0.00
}